Record 1
Material: ZrS2
Method: DFT, PBE-GGA
State: relaxed

## Properties
For the calculated total energy, the calculation gives -7.018 eV per atom.

a b c (Å): 25.4234 3.6169 6.2620
angles (deg): 90.00 90.00 90.00
Closest atoms and distances in Å follow each position.
Space group Amm2 (No. 38)
Unique sites:
Zr  0.0000  0.0000  0.0000 (multiplicity 2)  6 S 2.61
Zr  0.2410  0.0000  0.6668 (multiplicity 4)  6 S 2.56-2.57
Zr  0.5000  0.0000  0.4427 (multiplicity 2)  6 S 2.61
S  0.0616  0.0000  0.3333 (multiplicity 4)  3 Zr 2.61
S  0.1824  0.0000  0.0003 (multiplicity 4)  3 Zr 2.56-2.57
S  0.2997  0.0000  0.3336 (multiplicity 4)  3 Zr 2.57
S  0.4382  0.0000  0.7761 (multiplicity 4)  3 Zr 2.61

Record 2
Material: Sc2ReB
Method: DFT, PBE-GGA
State: relaxed

## Properties
For the calculated total energy, the calculation gives -7.505 eV per atom.

a b c (Å): 6.1861 6.1861 6.1861
angles (deg): 90.00 90.00 90.00
Closest atoms and distances in Å follow each position.
Space group F-43m (No. 216)
Unique sites:
Sc  0.0000  0.0000  0.0000 (multiplicity 4)  4 Re 2.68, 4 Sc 2.68
Sc  0.2500  0.2500  0.2500 (multiplicity 4)  4 Sc 2.68, 4 B 2.68
Re  0.2500  0.2500  0.7500 (multiplicity 4)  4 Sc 2.68, 4 B 2.68
B  0.0000  0.0000  0.5000 (multiplicity 4)  4 Re 2.68, 4 Sc 2.68

Record 3
Material: Li2Y2NiPtPb2
Method: DFT, PBE-GGA
State: relaxed

## Properties
For the calculated total energy, the calculation gives -5.047 eV per atom.

a b c (Å): 4.7565 4.7565 6.7807
angles (deg): 90.00 90.00 90.00
Closest atoms and distances in Å follow each position.
Space group P-4m2 (No. 115)
Unique sites:
Li  0.0000  0.0000  0.0000 (multiplicity 1)  4 Pb 2.87, 4 Y 2.92
Li  0.5000  0.5000  0.5000 (multiplicity 1)  4 Y 2.93, 4 Pb 2.97
Y  0.0000  0.5000  0.2487 (multiplicity 2)  4 Li 2.92-2.93, 2 Ni 2.92, 2 Pt 2.93
Ni  0.5000  0.5000  0.0000 (multiplicity 1)  4 Pb 2.87, 4 Y 2.92
Pt  0.0000  0.0000  0.5000 (multiplicity 1)  4 Y 2.93, 4 Pb 2.97
Pb  0.0000  0.5000  0.7627 (multiplicity 2)  4 Li 2.87-2.97, 2 Ni 2.87, 2 Pt 2.97